GGA-PBE Cr3CuH, optimized geometry; ρ = 3.49 g cm⁻³; energy above the most stable polymorph in this dataset = 7.72 eV per formula unit; V = 105 Å³/f.u.; DOS at the Fermi energy = 6.03 states/eV/f.u.
1.0
4.715 0.000 0.000
0.000 4.715 0.000
0.000 0.000 4.715
Cu Cr H
1 3 1
Cartesian
0.000 0.000 0.000
0.000 0.000 2.357
2.357 0.000 0.000
0.000 2.357 0.000
2.357 2.357 2.357